1.
{
  "formula": "KYP2O7",
  "functional": "PBE-GGA",
  "state": "optimized geometry",
  "raw_formation_energy_ev_per_fu": -29.48,
  "cell": [[-1.3324, -4.8511, -2.2624], [-0.9531, 0.5821, 5.4018], [-11.4694, 4.3105, -2.4882]],
  "species": ["K", "K", "O", "O", "O", "O", "O", "O", "O", "O", "O", "O", "O", "O", "O", "O", "P", "P", "P", "P", "Y", "Y"],
  "frac_coords": [[0.6908, 0.3092, 0.7500], [0.3092, 0.6908, 0.2500], [0.6643, 0.7768, 0.6222], [0.3357, 0.2232, 0.1222], [0.2232, 0.3357, 0.8778], [0.7768, 0.6643, 0.3778], [0.3357, 0.2232, 0.3778], [0.6643, 0.7768, 0.8778], [0.7768, 0.6643, 0.1222], [0.2232, 0.3357, 0.6222], [0.2243, 0.7757, 0.9426], [0.7757, 0.2243, 0.4426], [0.2243, 0.7757, 0.5574], [0.7757, 0.2243, 0.0574], [0.2827, 0.7173, 0.7500], [0.7173, 0.2827, 0.2500], [0.3539, 0.6461, 0.8703], [0.6461, 0.3539, 0.3703], [0.3539, 0.6461, 0.6297], [0.6461, 0.3539, 0.1297], [0.0000, 0.0000, 0.0000], [0.0000, 0.0000, 0.5000]]
}

=====

2.
{
  "formula": "LaPr2Ge2",
  "functional": "PBE-GGA",
  "state": "optimized geometry",
  "formation_enthalpy_0k_ev_per_atom": -0.6401,
  "cell": [[4.5812, 0.0000, 0.0000], [2.2906, 6.3808, 0.1708], [2.2906, 1.2468, 9.7374]],
  "species": ["La", "La", "Pr", "Pr", "Pr", "Pr", "Ge", "Ge", "Ge", "Ge"],
  "frac_coords": [[0.7860, 0.0792, 0.3488], [0.2140, 0.9208, 0.6512], [0.3162, 0.2799, 0.0877], [0.4877, 0.3404, 0.6842], [0.6838, 0.7201, 0.9123], [0.5123, 0.6596, 0.3157], [0.9628, 0.1720, 0.9025], [0.1129, 0.3375, 0.4367], [0.0372, 0.8280, 0.0975], [0.8871, 0.6625, 0.5633]]
}

=====

3.
{
  "formula": "Ag7Pd6Au16",
  "functional": "PBE-GGA",
  "state": "optimized geometry",
  "formation_enthalpy_0k_ev_per_atom": 0.1629,
  "cell": [[-3.0275, 7.7875, 3.8150], [2.2485, 2.0447, 8.6678], [5.8682, 6.8515, 1.7282]],
  "species": ["Ag", "Ag", "Ag", "Ag", "Ag", "Ag", "Ag", "Pd", "Pd", "Pd", "Pd", "Pd", "Pd", "Au", "Au", "Au", "Au", "Au", "Au", "Au", "Au", "Au", "Au", "Au", "Au", "Au", "Au", "Au", "Au"],
  "frac_coords": [[0.0000, 0.0000, 0.0000], [0.5000, 0.0000, 0.5000], [0.0000, 0.5000, 0.0000], [0.0000, 0.5000, 0.5000], [0.5000, 0.0000, 0.0000], [0.0000, 0.0000, 0.5000], [0.5000, 0.5000, 0.0000], [0.3341, 0.6659, 0.3341], [0.6659, 0.3341, 0.6659], [0.6659, 0.3341, 0.3341], [0.3341, 0.6659, 0.6659], [0.6659, 0.6659, 0.3341], [0.3341, 0.3341, 0.6659], [0.8789, 0.8789, 0.3634], [0.8789, 0.8789, 0.8789], [0.8789, 0.3634, 0.8789], [0.3634, 0.8789, 0.8789], [0.1211, 0.1211, 0.1211], [0.1211, 0.1211, 0.6366], [0.1211, 0.6366, 0.1211], [0.6366, 0.1211, 0.1211], [0.6535, 0.6535, 0.0394], [0.6535, 0.6535, 0.6535], [0.6535, 0.0394, 0.6535], [0.0394, 0.6535, 0.6535], [0.3465, 0.3465, 0.3465], [0.3465, 0.3465, 0.9606], [0.3465, 0.9606, 0.3465], [0.9606, 0.3465, 0.3465]]
}

=====

4.
{
  "formula": "CeDy5Zn6",
  "functional": "PBE-GGA",
  "state": "optimized geometry",
  "formation_enthalpy_0k_ev_per_atom": -0.3064,
  "cell": [[4.7965, -0.0285, 1.6006], [0.0388, 7.1645, 0.0130], [0.0050, -0.0142, 7.9912]],
  "species": ["Zn", "Zn", "Zn", "Zn", "Zn", "Zn", "Ce", "Dy", "Dy", "Dy", "Dy", "Dy"],
  "frac_coords": [[0.8310, 0.7458, 0.3379], [0.8310, 0.2542, 0.3379], [0.5000, 0.2539, 0.0000], [0.5000, 0.7461, 0.0000], [0.1690, 0.7458, 0.6621], [0.1690, 0.2542, 0.6621], [0.0000, 0.0000, 0.0000], [0.6643, 0.5000, 0.6715], [0.3334, 0.0000, 0.3330], [0.0000, 0.5000, 0.0000], [0.6666, 0.0000, 0.6670], [0.3357, 0.5000, 0.3285]]
}

=====

5.
{
  "formula": "InMoP",
  "functional": "PBE-GGA",
  "state": "optimized geometry",
  "formation_enthalpy_0k_ev_per_atom": -0.0764,
  "cell": [[-2.7791, 0.7085, 1.3015], [2.4926, -0.5896, 1.8327], [1.5196, 6.1326, -0.0938]],
  "species": ["In", "Mo", "P"],
  "frac_coords": [[0.0000, 0.0000, 0.0055], [0.6667, 0.3333, 0.3733], [0.3333, 0.6667, 0.6212]]
}

=====

6.
{
  "formula": "PmCdP2Rh5",
  "functional": "PBE-GGA",
  "state": "optimized geometry",
  "formation_enthalpy_0k_ev_per_atom": -0.5179,
  "cell": [[4.0446, 0.0000, 0.0000], [0.0000, 4.0446, 0.0000], [0.0000, 0.0000, 10.3239]],
  "species": ["Pm", "Cd", "P", "P", "Rh", "Rh", "Rh", "Rh", "Rh"],
  "frac_coords": [[0.0000, 0.0000, 0.5000], [0.0000, 0.0000, 0.0000], [0.5000, 0.5000, 0.2812], [0.5000, 0.5000, 0.7188], [0.0000, 0.5000, 0.1841], [0.5000, 0.0000, 0.1841], [0.0000, 0.5000, 0.8159], [0.5000, 0.0000, 0.8159], [0.5000, 0.5000, 0.5000]]
}

=====

7.
{
  "formula": "Er2Ni2Au",
  "functional": "PBE-GGA",
  "state": "optimized geometry",
  "formation_enthalpy_0k_ev_per_atom": -0.6169,
  "cell": [[-3.3565, 0.5234, 1.1960], [2.3627, -0.3368, 6.7782], [1.0969, 7.1018, -0.0295]],
  "species": ["Er", "Er", "Er", "Er", "Ni", "Ni", "Ni", "Ni", "Au", "Au"],
  "frac_coords": [[0.5000, 0.1778, 0.6778], [0.5000, 0.6778, 0.8222], [0.5000, 0.8222, 0.3222], [0.5000, 0.3222, 0.1778], [0.0000, 0.3802, 0.8802], [0.0000, 0.8802, 0.6198], [0.0000, 0.6198, 0.1198], [0.0000, 0.1198, 0.3802], [0.0000, 0.0000, 0.0000], [0.0000, 0.5000, 0.5000]]
}

=====

8.
{
  "formula": "SrPbNO2",
  "functional": "PBE-GGA",
  "state": "optimized geometry",
  "raw_formation_energy_ev_per_fu": 0.55,
  "cell": [[-0.6802, 2.8764, 3.6330], [3.1017, -2.4454, 2.5169], [3.5159, 2.8305, -1.5827]],
  "species": ["Pb", "Sr", "O", "O", "N"],
  "frac_coords": [[0.5000, 0.5000, 0.5000], [0.0000, 0.0000, 0.0000], [0.0000, 0.5000, 0.0000], [0.5000, 0.0000, 0.0000], [0.0000, 0.0000, 0.5000]]
}

=====

9.
{
  "formula": "Tb8Sm2Y3",
  "functional": "PBE-GGA",
  "state": "optimized geometry",
  "formation_enthalpy_0k_ev_per_atom": 0.2201,
  "cell": [[-0.3785, 3.0463, 6.1437], [-0.2758, -5.5128, 7.7472], [7.4230, -0.8155, 5.8923]],
  "species": ["Tb", "Tb", "Tb", "Tb", "Tb", "Tb", "Tb", "Tb", "Sm", "Sm", "Y", "Y", "Y"],
  "frac_coords": [[0.0649, 0.5813, 0.5813], [0.9351, 0.4187, 0.4187], [0.0080, 0.1902, 0.1902], [0.9920, 0.8098, 0.8098], [0.5626, 0.5631, 0.1983], [0.5626, 0.1983, 0.5631], [0.4374, 0.8017, 0.4369], [0.4374, 0.4369, 0.8017], [0.4840, 0.2167, 0.2167], [0.5160, 0.7833, 0.7833], [0.5000, 0.0000, 0.0000], [0.0000, 0.1735, 0.8265], [0.0000, 0.8265, 0.1735]]
}

=====

10.
{
  "formula": "Zn7InCu5",
  "functional": "PBE-GGA",
  "state": "optimized geometry",
  "formation_enthalpy_0k_ev_per_atom": -0.0392,
  "cell": [[4.6020, 0.0000, 1.8900], [2.3233, 6.1717, 0.8907], [-0.0437, -0.0388, 6.6541]],
  "species": ["Zn", "Zn", "Zn", "Zn", "Zn", "Zn", "Zn", "In", "Cu", "Cu", "Cu", "Cu", "Cu"],
  "frac_coords": [[0.6548, 0.3452, 0.3452], [0.3463, 0.6537, 0.6537], [0.9936, 0.3547, 0.6582], [0.9936, 0.6582, 0.3547], [0.2753, 0.2247, 0.2247], [0.5019, 0.7865, 0.2097], [0.5019, 0.2097, 0.7865], [0.0100, 0.9900, 0.9900], [0.4978, 0.0020, 0.5002], [0.0000, 0.0020, 0.5002], [0.4978, 0.5002, 0.0020], [0.0000, 0.5002, 0.0020], [0.7271, 0.7729, 0.7729]]
}

=====

11.
{
  "formula": "Dy2YTm3S6",
  "functional": "PBE-GGA",
  "state": "optimized geometry",
  "raw_formation_energy_ev_per_fu": -23.56,
  "cell": [[3.8642, 0.0000, 0.0000], [0.0000, 7.7818, 0.2553], [-1.9321, -2.2674, 8.1354]],
  "species": ["Dy", "Dy", "Y", "Tm", "Tm", "Tm", "S", "S", "S", "S", "S", "S"],
  "frac_coords": [[0.8332, 0.6666, 0.6664], [0.1668, 0.3334, 0.3336], [0.5000, 0.0000, 0.0000], [0.5000, 0.5000, 0.0000], [0.8335, 0.1672, 0.6670], [0.1665, 0.8328, 0.3330], [0.3317, 0.9203, 0.6633], [0.6653, 0.5867, 0.3305], [0.6683, 0.0797, 0.3367], [0.9988, 0.2544, 0.9976], [0.0012, 0.7456, 0.0024], [0.3347, 0.4133, 0.6695]]
}

=====

Number 1: total magnetic moment 0.0 μB per formula unit. Number 2: total magnetic moment 0.0 μB per formula unit. Number 3: total magnetic moment 0.0 μB per formula unit. Number 4: total magnetic moment 1.3 μB per formula unit. Number 5: total magnetic moment 0.0 μB per formula unit. Number 6: total magnetic moment 0.0 μB per formula unit. Number 7: total magnetic moment 0.0 μB per formula unit. Number 8: total magnetic moment 3.0 μB per formula unit. Number 9: total magnetic moment 0.0 μB per formula unit. Number 10: total magnetic moment 0.0 μB per formula unit. Number 11: total magnetic moment 0.0 μB per formula unit.